Record 1
# GGA-PBE TbPmLuGa, relaxed
# - total magnetic moment (μB/cell) = 0.010
# - symmetry = F-43m
# - DFT total energy (eV/atom) = -4.345
# - E_form (eV/atom) = -0.113
data_TbPmLuGa
_cell_length_a 5.334
_cell_length_b 5.334
_cell_length_c 5.334
_cell_angle_alpha 60.00
_cell_angle_beta 60.00
_cell_angle_gamma 60.00
_symmetry_space_group_name_H-M 'P 1'
_symmetry_Int_Tables_number 1
loop_
_symmetry_equiv_pos_as_xyz
'x,y,z'
loop_
_atom_site_label
_atom_site_fract_x
_atom_site_fract_y
_atom_site_fract_z
Ga1 0.750 0.750 0.750
Pm1 0.000 0.000 0.000
Tb1 0.500 0.500 0.500
Lu1 0.250 0.250 0.250

***

Record 2
# GGA-PBE PmLuTlGa, relaxed
# - total magnetic moment (μB/cell) = 0.000
# - symmetry = F-43m
# - DFT total energy (eV/atom) = -4.071
# - E_form (eV/atom) = -0.405
data_PmLuTlGa
_cell_length_a 5.242
_cell_length_b 5.242
_cell_length_c 5.242
_cell_angle_alpha 60.00
_cell_angle_beta 60.00
_cell_angle_gamma 60.00
_symmetry_space_group_name_H-M 'P 1'
_symmetry_Int_Tables_number 1
loop_
_symmetry_equiv_pos_as_xyz
'x,y,z'
loop_
_atom_site_label
_atom_site_fract_x
_atom_site_fract_y
_atom_site_fract_z
Lu1 0.500 0.500 0.500
Ga1 0.250 0.250 0.250
Pm1 0.000 0.000 0.000
Tl1 0.750 0.750 0.750

***

Record 3
# GGA-PBE PmYLuGa, relaxed
# - total magnetic moment (μB/cell) = 0.412
# - symmetry = F-43m
# - DFT total energy (eV/atom) = -4.807
# - E_form (eV/atom) = -0.116
data_PmYLuGa
_cell_length_a 5.338
_cell_length_b 5.338
_cell_length_c 5.338
_cell_angle_alpha 60.00
_cell_angle_beta 60.00
_cell_angle_gamma 60.00
_symmetry_space_group_name_H-M 'P 1'
_symmetry_Int_Tables_number 1
loop_
_symmetry_equiv_pos_as_xyz
'x,y,z'
loop_
_atom_site_label
_atom_site_fract_x
_atom_site_fract_y
_atom_site_fract_z
Pm1 0.250 0.250 0.250
Lu1 0.500 0.500 0.500
Y1 0.750 0.750 0.750
Ga1 0.000 0.000 0.000

***

- Among the records above, which one has the lowest total magnetic moment?
  PmLuTlGa